No. 1
The following is a PBE calculation of an optimized crystal structure of LaCe2Ge2, from Alexandria.

Computed properties:
DOS(E_F) ... 26.22 states/eV per cell
SG ... P4/mbm, No. 127
ΔE to the lowest computed polymorph ... 0.000 eV per atom
Calculated volume ... 263.9 Å³ per cell

Unit cell a=7.9326 b=7.9326 c=4.1935 alpha=90.00 beta=90.00 gamma=90.00
Atoms (fractional coordinates):
La 0.0000 0.0000 0.0000
La 0.5000 0.5000 0.0000
Ce 0.1744 0.3256 0.5000
Ce 0.3256 0.8256 0.5000
Ce 0.6744 0.1744 0.5000
Ce 0.8256 0.6744 0.5000
Ge 0.1201 0.6201 0.0000
Ge 0.3799 0.1201 0.0000
Ge 0.6201 0.8799 0.0000
Ge 0.8799 0.3799 0.0000

No. 2
The following is a PBE calculation of an optimized crystal structure of KNdAg2, from Alexandria.

Computed properties:
DOS(E_F) ... 1.52 states/eV per cell
SG ... P4/mmm, No. 123
ΔE to the lowest computed polymorph ... 0.000 eV per atom
Calculated volume ... 123.7 Å³ per cell

Unit cell a=3.8826 b=3.8826 c=8.2071 alpha=90.00 beta=90.00 gamma=90.00
Atoms (fractional coordinates):
K 0.0000 0.0000 0.0000
Nd 0.0000 0.0000 0.5000
Ag 0.5000 0.5000 0.3117
Ag 0.5000 0.5000 0.6883

No. 3
The following is a PBE calculation of an optimized crystal structure of MoC3Br, from Alexandria.

Computed properties:
DOS(E_F) ... 6.56 states/eV per cell
SG ... Pm-3m, No. 221
ΔE to the lowest computed polymorph ... 1.284 eV per atom
Formation energy (no corrections) ... 17.4 eV/f.u.
Calculated volume ... 57.5 Å³ per cell

Unit cell a=3.8590 b=3.8590 c=3.8590 alpha=90.00 beta=90.00 gamma=90.00
Atoms (fractional coordinates):
Mo 0.0000 0.0000 0.0000
C 0.0000 0.5000 0.5000
C 0.5000 0.0000 0.5000
C 0.5000 0.5000 0.0000
Br 0.5000 0.5000 0.5000

No. 4
The following is a PBE calculation of an optimized crystal structure of Al3P2Ru4, from Alexandria.

Computed properties:
DOS(E_F) ... 7.21 states/eV per cell
SG ... P4/mmm, No. 123
E ... -7.103 eV per atom
Calculated volume ... 243.9 Å³ per cell

Unit cell a=9.0280 b=9.0280 c=2.9924 alpha=90.00 beta=90.00 gamma=90.00
Atoms (fractional coordinates):
Al 0.0000 0.0000 0.0000
Al 0.0000 0.3382 0.0000
Al 0.0000 0.6618 0.0000
Al 0.3382 0.0000 0.0000
Al 0.5000 0.5000 0.0000
Al 0.6618 0.0000 0.0000
P 0.3135 0.3135 0.0000
P 0.3135 0.6865 0.0000
P 0.6865 0.3135 0.0000
P 0.6865 0.6865 0.0000
Ru 0.1725 0.1725 0.5000
Ru 0.1725 0.8275 0.5000
Ru 0.1751 0.5000 0.5000
Ru 0.5000 0.1751 0.5000
Ru 0.5000 0.8249 0.5000
Ru 0.8249 0.5000 0.5000
Ru 0.8275 0.1725 0.5000
Ru 0.8275 0.8275 0.5000

No. 5
The following is a PBE calculation of an optimized crystal structure of Tl2InBi, from Alexandria.

Computed properties:
DOS(E_F) ... 9.87 states/eV per cell
SG ... I-42d, No. 122
ΔE to the lowest computed polymorph ... 0.274 eV per atom
Calculated volume ... 656.8 Å³ per cell

Unit cell a=7.5082 b=7.5082 c=11.6513 alpha=90.00 beta=90.00 gamma=90.00
Atoms (fractional coordinates):
Tl 0.2470 0.2500 0.1250
Tl 0.2500 0.7470 0.3750
Tl 0.2500 0.7530 0.8750
Tl 0.2530 0.2500 0.6250
Tl 0.7470 0.7500 0.6250
Tl 0.7500 0.2470 0.8750
Tl 0.7500 0.2530 0.3750
Tl 0.7530 0.7500 0.1250
In 0.0000 0.0000 0.0000
In 0.0000 0.5000 0.2500
In 0.5000 0.0000 0.7500
In 0.5000 0.5000 0.5000
Bi 0.0000 0.0000 0.5000
Bi 0.0000 0.5000 0.7500
Bi 0.5000 0.0000 0.2500
Bi 0.5000 0.5000 0.0000

No. 6
The following is a PBE calculation of an optimized crystal structure of Nd3Ho8Sc4, from Alexandria.

Computed properties:
DOS(E_F) ... 26.04 states/eV per cell
SG ... C2/m, No. 12
E ... -4.695 eV per atom
Calculated volume ... 464.2 Å³ per cell

Unit cell a=8.8542 b=8.8542 c=6.6108 alpha=108.83 beta=108.83 gamma=84.57
Atoms (fractional coordinates):
Nd 0.0000 0.0000 0.0000
Nd 0.0000 0.5000 0.5000
Nd 0.5000 0.0000 0.5000
Ho 0.2023 0.2023 0.6635
Ho 0.2074 0.7926 0.5000
Ho 0.2599 0.7401 0.0000
Ho 0.2673 0.2673 0.1914
Ho 0.7327 0.7327 0.8086
Ho 0.7401 0.2599 0.0000
Ho 0.7926 0.2074 0.5000
Ho 0.7977 0.7977 0.3365
Sc 0.0000 0.5000 0.0000
Sc 0.5000 0.0000 0.0000
Sc 0.5000 0.5000 0.0000
Sc 0.5000 0.5000 0.5000

No. 7
The following is a PBE calculation of an optimized crystal structure of TcRu2Rh, from Alexandria.

Computed properties:
DOS(E_F) ... 28.25 states/eV per cell
SG ... F-43m, No. 216
ΔE to the lowest computed polymorph ... 0.552 eV per atom
Calculated volume ... 232.6 Å³ per cell

Unit cell a=6.1497 b=6.1497 c=6.1497 alpha=90.00 beta=90.00 gamma=90.00
Atoms (fractional coordinates):
Tc 0.0000 0.0000 0.0000
Tc 0.0000 0.5000 0.5000
Tc 0.5000 0.0000 0.5000
Tc 0.5000 0.5000 0.0000
Ru 0.0000 0.0000 0.5000
Ru 0.0000 0.5000 0.0000
Ru 0.2500 0.2500 0.7500
Ru 0.2500 0.7500 0.2500
Ru 0.5000 0.0000 0.0000
Ru 0.5000 0.5000 0.5000
Ru 0.7500 0.2500 0.2500
Ru 0.7500 0.7500 0.7500
Rh 0.2500 0.2500 0.2500
Rh 0.2500 0.7500 0.7500
Rh 0.7500 0.2500 0.7500
Rh 0.7500 0.7500 0.2500

No. 8
The following is a PBE calculation of an optimized crystal structure of RePb2Cl2, from Alexandria.

Computed properties:
DOS(E_F) ... 6.92 states/eV per cell
SG ... I4/mmm, No. 139
Formation energy (no corrections) ... 3.8 eV/f.u.
Calculated volume ... 270.2 Å³ per cell

Unit cell a=4.3488 b=4.3488 c=14.2859 alpha=90.00 beta=90.00 gamma=90.00
Atoms (fractional coordinates):
Re 0.0000 0.0000 0.0000
Re 0.5000 0.5000 0.5000
Pb 0.0000 0.0000 0.3906
Pb 0.0000 0.0000 0.6094
Pb 0.5000 0.5000 0.1094
Pb 0.5000 0.5000 0.8906
Cl 0.0000 0.5000 0.2500
Cl 0.0000 0.5000 0.7500
Cl 0.5000 0.0000 0.2500
Cl 0.5000 0.0000 0.7500

No. 9
The following is a PBE calculation of an optimized crystal structure of SmZrZn, from Alexandria.

Computed properties:
DOS(E_F) ... 1.44 states/eV per cell
SG ... P3m1, No. 156
ΔE to the lowest computed polymorph ... 0.163 eV per atom
Calculated volume ... 72.5 Å³ per cell

Unit cell a=4.9004 b=4.9004 c=3.4880 alpha=90.00 beta=90.00 gamma=120.00
Atoms (fractional coordinates):
Sm 0.0000 0.0000 0.0000
Zr 0.3333 0.6667 0.4979
Zn 0.6667 0.3333 0.5066